A geometry-optimized SmHo3Cu2 structure, computed with PBE.

```
data_SmHo3Cu2
_cell_length_a 6.8153
_cell_length_b 13.4272
_cell_length_c 7.1545
_cell_angle_alpha 90.00
_cell_angle_beta 90.00
_cell_angle_gamma 90.00
_space_group_name_H-M_alt 'I b a m'
_space_group_IT_number 72
_space_group_name_Hall '-I 2 2c'
loop_
_atom_site_label
_atom_site_type_symbol
_atom_site_fract_x
_atom_site_fract_y
_atom_site_fract_z
Sm1 Sm 0.0000 0.0000 0.0000
Ho1 Ho 0.0000 0.2362 0.2500
Ho2 Ho 0.0000 0.5000 0.2500
Cu1 Cu 0.2073 0.3572 0.0000
```

As for the offset from the most stable computed form: 183 meV per atom. The value obtained for the total energy is -0.1624 Ha/atom.